The following is a meta-GGA SCAN calculation of a PBEsol-optimized structure of ZrBiS2, from the Alexandria database.

Cell: 3.5139 3.5139 8.9756 Å, 78.71 78.71 60.00°
Fractional coordinates of all 4 atoms:
S: 0.8927 0.8927 0.3220
S: 0.1073 0.1073 0.6780
Zr: 0.5000 0.5000 0.5000
Bi: 0.0000 0.0000 0.0000

Computed properties:
Its uncorrected formation energy is -1.190 eV per atom. Its symmetry is R-3m, No. 166. As for the uncorrected energy: -33.32 eV per atom.

The following is a meta-GGA SCAN calculation of a PBEsol-optimized structure of Sc2BiSb, from the Alexandria database.

Cell: 5.1190 5.1190 5.1190 Å, 60.00 60.00 60.00°
Fractional coordinates of all 4 atoms:
Sc: 0.7500 0.7500 0.7500
Sb: 0.0000 0.0000 0.0000
Bi: 0.5000 0.5000 0.5000
Sc: 0.2500 0.2500 0.2500

Computed properties:
Its uncorrected formation energy is -0.572 eV per atom. Its symmetry is Fm-3m, No. 225. As for the uncorrected energy: -36.65 eV per atom.

The following is a meta-GGA SCAN calculation of a PBEsol-optimized structure of BiSb2Se2, from the Alexandria database.

Cell: 4.8404 4.8404 6.7730 Å, 110.94 110.94 90.00°
Fractional coordinates of all 5 atoms:
Se: 0.7500 0.2500 0.5000
Sb: 0.3718 0.3718 0.7436
Se: 0.2500 0.7500 0.5000
Sb: 0.6282 0.6282 0.2564
Bi: 0.0000 0.0000 0.0000

Computed properties:
Its uncorrected formation energy is 0.298 eV per atom. Its symmetry is I4/mmm, No. 139. As for the uncorrected energy: -38.35 eV per atom.

The following is a meta-GGA SCAN calculation of a PBEsol-optimized structure of Bi3SbSe, from the Alexandria database.

Cell: 5.4710 5.4710 5.4710 Å, 90.00 90.00 90.00°
Fractional coordinates of all 5 atoms:
Se: 0.0000 0.0000 0.0000
Bi: 0.0000 0.0000 0.5000
Sb: 0.5000 0.5000 0.5000
Bi: 0.5000 0.0000 0.0000
Bi: 0.0000 0.5000 0.0000

Computed properties:
Its uncorrected formation energy is 0.695 eV per atom. Its symmetry is Pm-3m, No. 221. As for the uncorrected energy: -57.92 eV per atom.

The following is a meta-GGA SCAN calculation of a PBEsol-optimized structure of SiBiSb2, from the Alexandria database.

Cell: 5.1990 5.1990 5.1990 Å, 60.00 60.00 60.00°
Fractional coordinates of all 4 atoms:
Bi: 0.5000 0.5000 0.5000
Si: 0.0000 0.0000 0.0000
Sb: 0.7500 0.7500 0.7500
Sb: 0.2500 0.2500 0.2500

Computed properties:
Its uncorrected formation energy is 0.542 eV per atom. Its symmetry is Fm-3m, No. 225. As for the uncorrected energy: -40.24 eV per atom.

The following is a meta-GGA SCAN calculation of a PBEsol-optimized structure of SrBi3Sb, from the Alexandria database.

Cell: 5.8166 5.8166 5.8166 Å, 90.00 90.00 90.00°
Fractional coordinates of all 5 atoms:
Bi: 0.0000 0.5000 0.0000
Sb: 0.0000 0.0000 0.0000
Bi: 0.5000 0.0000 0.0000
Bi: 0.0000 0.0000 0.5000
Sr: 0.5000 0.5000 0.5000

Computed properties:
Its uncorrected formation energy is 0.159 eV per atom. Its symmetry is Pm-3m, No. 221. As for the uncorrected energy: -58.90 eV per atom.

The following is a meta-GGA SCAN calculation of a PBEsol-optimized structure of SrBi2Sb2, from the Alexandria database.

Cell: 4.5009 4.5009 8.6877 Å, 105.01 105.01 90.00°
Fractional coordinates of all 5 atoms:
Bi: 0.4052 0.4052 0.8103
Sb: 0.7500 0.2500 0.5000
Sr: 0.0000 0.0000 0.0000
Sb: 0.2500 0.7500 0.5000
Bi: 0.5948 0.5948 0.1897

Computed properties:
Its uncorrected formation energy is -0.185 eV per atom. Its symmetry is I4/mmm, No. 139. As for the uncorrected energy: -50.98 eV per atom.

The following is a meta-GGA SCAN calculation of a PBEsol-optimized structure of Sr2BiSb2, from the Alexandria database.

Cell: 4.6116 8.3995 8.3995 Å, 90.00 90.00 90.00°
Fractional coordinates of all 10 atoms:
Sb: 0.0000 0.3618 0.8618
Sr: 0.5000 0.8357 0.3357
Sr: 0.5000 0.6643 0.8357
Sb: 0.0000 0.6382 0.1382
Bi: 0.0000 0.5000 0.5000
Sb: 0.0000 0.8618 0.6382
Sr: 0.5000 0.1643 0.6643
Sb: 0.0000 0.1382 0.3618
Bi: 0.0000 0.0000 0.0000
Sr: 0.5000 0.3357 0.1643

Computed properties:
Its uncorrected formation energy is -0.802 eV per atom. Its symmetry is P4/mbm, No. 127. As for the uncorrected energy: -40.33 eV per atom.

The following is a meta-GGA SCAN calculation of a PBEsol-optimized structure of Sr2BiSb2, from the Alexandria database.

Cell: 3.6502 9.3829 9.3829 Å, 90.00 90.00 90.00°
Fractional coordinates of all 10 atoms:
Sb: 0.5000 0.3310 0.1690
Bi: 0.0000 0.5000 0.5000
Bi: 0.0000 0.0000 0.0000
Sb: 0.5000 0.8310 0.3310
Sr: 0.0000 0.6345 0.1345
Sb: 0.5000 0.1690 0.6690
Sr: 0.0000 0.1345 0.3655
Sr: 0.0000 0.3655 0.8655
Sb: 0.5000 0.6690 0.8310
Sr: 0.0000 0.8655 0.6345

Computed properties:
Its uncorrected formation energy is -0.479 eV per atom. Its symmetry is P4/mbm, No. 127. As for the uncorrected energy: -40.01 eV per atom.

The following is a meta-GGA SCAN calculation of a PBEsol-optimized structure of TaBi2Sb, from the Alexandria database.

Cell: 6.6578 6.6578 8.1997 Å, 113.95 113.95 90.00°
Fractional coordinates of all 8 atoms:
Ta: 0.0000 0.0000 0.0000
Sb: 0.7500 0.2500 0.5000
Sb: 0.5000 0.5000 0.0000
Bi: 0.1250 0.0892 0.7500
Bi: 0.6250 0.6608 0.7500
Ta: 0.2500 0.7500 0.5000
Bi: 0.9108 0.3750 0.2500
Bi: 0.3392 0.8750 0.2500

Computed properties:
Its uncorrected formation energy is 0.913 eV per atom. Its symmetry is I-42d, No. 122. As for the uncorrected energy: -64.34 eV per atom.

The following is a meta-GGA SCAN calculation of a PBEsol-optimized structure of TaBiSb2Te, from the Alexandria database.

Cell: 5.6001 5.6001 5.5987 Å, 90.00 90.00 90.00°
Fractional coordinates of all 5 atoms:
Te: 0.0000 0.0000 0.5000
Ta: 0.5000 0.5000 0.5000
Sb: 0.0000 0.5000 0.0000
Bi: 0.0000 0.0000 0.0000
Sb: 0.5000 0.0000 0.0000

Computed properties:
Its uncorrected formation energy is 1.783 eV per atom. Its symmetry is P4/mmm, No. 123. As for the uncorrected energy: -49.60 eV per atom.

The following is a meta-GGA SCAN calculation of a PBEsol-optimized structure of Tc2BiSb, from the Alexandria database.

Cell: 4.6340 4.6340 4.6340 Å, 60.00 60.00 60.00°
Fractional coordinates of all 4 atoms:
Tc: 0.2500 0.2500 0.2500
Tc: 0.7500 0.7500 0.7500
Sb: 0.0000 0.0000 0.0000
Bi: 0.5000 0.5000 0.5000

Computed properties:
Its uncorrected formation energy is 0.450 eV per atom. Its symmetry is Fm-3m, No. 225. As for the uncorrected energy: -46.04 eV per atom.